! GGA+U UFePb2O6, optimized geometry; values from VASP
! E (eV per atom): -7.39
! Space group: No. 2
! Crystal system: triclinic
&SYSTEM
  ibrav = 0, nat = 10, ntyp = 4
/
ATOMIC_SPECIES
U 238.03 U.upf
Fe 55.84 Fe.upf
Pb 207.20 Pb.upf
O 16.00 O.upf
ATOMIC_POSITIONS crystal
U 0.0000 0.0000 0.0000
Fe 0.5000 0.0000 0.5000
Pb 0.2200 0.5392 0.7110
Pb 0.7800 0.4608 0.2890
O 0.1921 0.5117 0.2991
O 0.1972 0.0060 0.3055
O 0.3167 0.9182 0.8463
O 0.6833 0.0818 0.1537
O 0.8028 0.9940 0.6945
O 0.8079 0.4883 0.7009
CELL_PARAMETERS angstrom
5.8362 0.0000 0.0000
2.8798 5.1510 0.0000
0.0218 3.3311 4.9362